Entry 1:
Here is a relaxed structure of Be13Re2 from the Alexandria database. Energies are from PBE.

Values from the calculation:
As for the magnetic moment: 0.0 μB per formula unit. As for the energy of formation: 5.21 eV/f.u. Its space-group type is R-3m. The density of states at the Fermi level is 4.7 states/eV per cell. For the calculated total energy, the calculation gives -4.541 eV/atom.

Cell: 6.3462 6.3462 6.3462 Å, 57.67 57.67 57.67°
With the nearest neighbours (Å) after each atom.
Fractional positions:
1 Be 0.0000 0.0000 0.0000  12 Be 2.11-2.19
2 Be 0.0104 0.0104 0.6566  7 Be 2.11-2.31, 1 Re 2.29
3 Be 0.0104 0.6566 0.0104  7 Be 2.11-2.31, 1 Re 2.29
4 Be 0.2262 0.2262 0.6148  8 Be 2.19-2.38, 1 Re 2.32
5 Be 0.2262 0.6148 0.2262  8 Be 2.19-2.38, 1 Re 2.32
6 Be 0.3434 0.9896 0.9896  7 Be 2.11-2.31, 1 Re 2.29
7 Be 0.3852 0.7738 0.7738  8 Be 2.19-2.38, 1 Re 2.32
8 Be 0.6148 0.2262 0.2262  8 Be 2.19-2.38, 1 Re 2.32
9 Be 0.6566 0.0104 0.0104  7 Be 2.11-2.31, 1 Re 2.29
10 Be 0.7738 0.3852 0.7738  8 Be 2.19-2.38, 1 Re 2.32
11 Be 0.7738 0.7738 0.3852  8 Be 2.19-2.38, 1 Re 2.32
12 Be 0.9896 0.3434 0.9896  7 Be 2.11-2.31, 1 Re 2.29
13 Be 0.9896 0.9896 0.3434  7 Be 2.11-2.31, 1 Re 2.29
14 Re 0.2373 0.2373 0.2373  9 Be 2.29-2.40
15 Re 0.7627 0.7627 0.7627  9 Be 2.29-2.40

Entry 2:
Here is a relaxed structure of BeRe from the Alexandria database. Energies are from PBE.

Values from the calculation:
As for the magnetic moment: 0.0 μB per formula unit. As for the energy of formation: 1.31 eV/f.u. Its space-group type is Fddd. The calculation puts the distance to the lowest polymorph of the same formula at 0.834 eV per atom. The density of states at the Fermi level is 4.4 states/eV per cell. For the calculated total energy, the calculation gives -7.433 eV/atom.

Cell: 7.3412 6.2162 4.8742 Å, 81.93 56.97 41.10°
With the nearest neighbours (Å) after each atom.
Fractional positions:
1 Be 0.1203 0.6297 0.6297  2 Be 2.02-2.10
2 Be 0.3703 0.8797 0.8797  2 Be 2.02-2.10
3 Be 0.6297 0.1203 0.1203  2 Be 2.02-2.10
4 Be 0.8797 0.3703 0.3703  2 Be 2.02-2.10
5 Re 0.0672 0.0672 0.6828  4 Be 2.31-2.47, 2 Re 2.47
6 Re 0.3172 0.3172 0.9328  4 Be 2.31-2.47, 2 Re 2.47
7 Re 0.6828 0.6828 0.0672  4 Be 2.31-2.47, 2 Re 2.47
8 Re 0.9328 0.9328 0.3172  4 Be 2.31-2.47, 2 Re 2.47

Entry 3:
Here is a relaxed structure of Be2Re from the Alexandria database. Energies are from PBE.

Values from the calculation:
As for the magnetic moment: 0.0 μB per formula unit. As for the energy of formation: 0.14 eV/f.u. Its space-group type is P6_3/mmc. The calculation puts the distance to the lowest polymorph of the same formula at 0.432 eV per atom. The density of states at the Fermi level is 2.2 states/eV per cell. For the calculated total energy, the calculation gives -6.587 eV/atom.

Cell: 3.9810 3.9810 4.5010 Å, 90.00 90.00 120.00°
With the nearest neighbours (Å) after each atom.
Fractional positions:
1 Be 0.0000 0.0000 0.0000  2 Be 2.25
2 Be 0.0000 0.0000 0.5000  2 Be 2.25
3 Be 0.3333 0.6667 0.2500  5 Re 2.25-2.30
4 Be 0.6667 0.3333 0.7500  5 Re 2.25-2.30
5 Re 0.3333 0.6667 0.7500  5 Be 2.25-2.30
6 Re 0.6667 0.3333 0.2500  5 Be 2.25-2.30

Entry 4:
Here is a relaxed structure of Be2Re from the Alexandria database. Energies are from PBE.

Values from the calculation:
As for the magnetic moment: 0.0 μB per formula unit. As for the energy of formation: 0.89 eV/f.u. Its space-group type is P-3m1. The calculation puts the distance to the lowest polymorph of the same formula at 0.681 eV per atom. The density of states at the Fermi level is 1.5 states/eV per cell. For the calculated total energy, the calculation gives -6.337 eV/atom.

Cell: 2.6492 2.6492 5.8361 Å, 90.00 90.00 120.00°
With the nearest neighbours (Å) after each atom.
Fractional positions:
1 Be 0.3333 0.6667 0.3426  9 Be 2.39-2.65, 3 Re 2.52
2 Be 0.6667 0.3333 0.6574  9 Be 2.39-2.65, 3 Re 2.52
3 Re 0.0000 0.0000 0.0000  6 Be 2.52, 6 Re 2.65

Entry 5:
Here is a relaxed structure of BeRe from the Alexandria database. Energies are from PBE.

Values from the calculation:
As for the magnetic moment: 0.0 μB per formula unit. As for the energy of formation: -0.05 eV/f.u. Its space-group type is Pnma. The calculation puts the distance to the lowest polymorph of the same formula at 0.156 eV per atom. The density of states at the Fermi level is 2.1 states/eV per cell. For the calculated total energy, the calculation gives -8.111 eV/atom.

Cell: 4.4348 4.2486 5.1772 Å, 90.00 90.00 90.00°
With the nearest neighbours (Å) after each atom.
Fractional positions:
1 Be 0.0817 0.2500 0.1235  8 Re 2.50-2.63, 4 Be 2.58
2 Be 0.4183 0.7500 0.6235  8 Re 2.50-2.63, 4 Be 2.58
3 Be 0.5817 0.2500 0.3765  8 Re 2.50-2.63, 4 Be 2.58
4 Be 0.9183 0.7500 0.8765  8 Re 2.50-2.63, 4 Be 2.58
5 Re 0.0670 0.2500 0.6227  8 Be 2.50-2.63, 4 Re 2.55-2.58
6 Re 0.4330 0.7500 0.1227  8 Be 2.50-2.63, 4 Re 2.55-2.58
7 Re 0.5670 0.2500 0.8773  8 Be 2.50-2.63, 4 Re 2.55-2.58
8 Re 0.9330 0.7500 0.3773  8 Be 2.50-2.63, 4 Re 2.55-2.58

Entry 6:
Here is a relaxed structure of Be2Re from the Alexandria database. Energies are from PBE.

Values from the calculation:
As for the magnetic moment: 0.0 μB per formula unit. As for the energy of formation: -1.15 eV/f.u. Its space-group type is P6_3/mmc. The calculation puts the distance to the lowest polymorph of the same formula at 0.001 eV per atom. The density of states at the Fermi level is 4.3 states/eV per cell. For the calculated total energy, the calculation gives -7.017 eV/atom.

Cell: 4.3750 4.3750 7.1639 Å, 90.00 90.00 120.00°
With the nearest neighbours (Å) after each atom.
Fractional positions:
1 Be 0.0000 0.0000 0.0000  6 Be 2.20
2 Be 0.0000 0.0000 0.5000  6 Be 2.20
3 Be 0.1684 0.3368 0.2500  6 Be 2.16-2.21
4 Be 0.1684 0.8316 0.2500  6 Be 2.16-2.21
5 Be 0.3368 0.1684 0.7500  6 Be 2.16-2.21
6 Be 0.6632 0.8316 0.2500  6 Be 2.16-2.21
7 Be 0.8316 0.1684 0.7500  6 Be 2.16-2.21
8 Be 0.8316 0.6632 0.7500  6 Be 2.16-2.21
9 Re 0.3333 0.6667 0.5644  12 Be 2.56-2.58, 4 Re 2.66-2.69
10 Re 0.3333 0.6667 0.9356  12 Be 2.56-2.58, 4 Re 2.66-2.69
11 Re 0.6667 0.3333 0.0644  12 Be 2.56-2.58, 4 Re 2.66-2.69
12 Re 0.6667 0.3333 0.4356  12 Be 2.56-2.58, 4 Re 2.66-2.69

Taking the records one at a time from the top gives ρ values of 4.75, 12.14, 10.98, 9.56, 13.29, 11.42 Mg/m³.